# 1
{
  "formula": "LaPaSe2N",
  "functional": "PBE",
  "state": "relaxed",
  "lattice": [[4.0294, 0.0000, 0.0000], [0.0000, 4.0294, 0.0000], [0.0000, 0.0000, 15.1796]],
  "species": ["La", "La", "Pa", "Pa", "Se", "Se", "Se", "Se", "N", "N"],
  "fractional_positions": [[0.2500, 0.2500, 0.1289], [0.7500, 0.7500, 0.8711], [0.2500, 0.2500, 0.5749], [0.7500, 0.7500, 0.4251], [0.2500, 0.2500, 0.3229], [0.2500, 0.2500, 0.9143], [0.7500, 0.7500, 0.0857], [0.7500, 0.7500, 0.6771], [0.2500, 0.7500, 0.5000], [0.7500, 0.2500, 0.5000]],
  "dos_at_fermi_per_ev_cell": 8.002,
  "final_energy_ry_per_atom": -0.5695,
  "raw_formation_energy_kcal_per_mol_atoms": -41.6,
  "rho_g_cm3": 7.3,
  "spacegroup": "No. 129"
}

# 2
{
  "formula": "LaPa2SiN5",
  "functional": "PBE",
  "state": "relaxed",
  "lattice": [[6.6285, 0.0000, 0.0000], [0.0000, 6.6285, 0.0000], [0.0000, 0.0000, 5.5404]],
  "species": ["La", "La", "Pa", "Pa", "Pa", "Pa", "Si", "Si", "N", "N", "N", "N", "N", "N", "N", "N", "N", "N"],
  "fractional_positions": [[0.0000, 0.0000, 0.0000], [0.5000, 0.5000, 0.0000], [0.1780, 0.3220, 0.5000], [0.3220, 0.8220, 0.5000], [0.6780, 0.1780, 0.5000], [0.8220, 0.6780, 0.5000], [0.0000, 0.5000, 0.0000], [0.5000, 0.0000, 0.0000], [0.0000, 0.0000, 0.5000], [0.1382, 0.6382, 0.2377], [0.1382, 0.6382, 0.7623], [0.3618, 0.1382, 0.2377], [0.3618, 0.1382, 0.7623], [0.5000, 0.5000, 0.5000], [0.6382, 0.8618, 0.2377], [0.6382, 0.8618, 0.7623], [0.8618, 0.3618, 0.2377], [0.8618, 0.3618, 0.7623]],
  "dos_at_fermi_per_ev_cell": 8.696,
  "final_energy_ry_per_atom": -0.6768,
  "raw_formation_energy_kcal_per_mol_atoms": -30.5,
  "rho_g_cm3": 9.5,
  "spacegroup": "No. 127"
}

# 3
{
  "formula": "LaSm2PaN4",
  "functional": "PBE",
  "state": "relaxed",
  "lattice": [[6.1879, 0.0000, 0.0000], [0.0000, 3.6041, 0.0000], [-2.0688, 0.0000, 5.9237]],
  "species": ["La", "Sm", "Sm", "Pa", "N", "N", "N", "N"],
  "fractional_positions": [[0.0000, 0.0000, 0.0000], [0.5000, 0.0000, 0.5000], [0.5000, 0.5000, 0.0000], [0.0000, 0.5000, 0.5000], [0.2318, 0.0000, 0.7240], [0.2382, 0.5000, 0.2768], [0.7618, 0.5000, 0.7232], [0.7682, 0.0000, 0.2760]],
  "dos_at_fermi_per_ev_cell": 3.616,
  "final_energy_ry_per_atom": -0.6368,
  "raw_formation_energy_kcal_per_mol_atoms": -35.0,
  "rho_g_cm3": 9.1,
  "spacegroup": "No. 10"
}

# 4
{
  "formula": "SrLa2Pa3N8",
  "functional": "PBE",
  "state": "relaxed",
  "lattice": [[3.5750, 2.0640, 5.8828], [-3.5750, 2.0640, 5.8828], [0.0000, -4.1281, 5.8828]],
  "species": ["Sr", "La", "La", "Pa", "Pa", "Pa", "N", "N", "N", "N", "N", "N", "N", "N"],
  "fractional_positions": [[0.0000, 0.0000, 0.0000], [0.3785, 0.3785, 0.3785], [0.7594, 0.7594, 0.7594], [0.3781, 0.3781, 0.8821], [0.3781, 0.8821, 0.3781], [0.8821, 0.3781, 0.3781], [0.1374, 0.1374, 0.5631], [0.1374, 0.5631, 0.1374], [0.1508, 0.1508, 0.1508], [0.1785, 0.6267, 0.6267], [0.5631, 0.1374, 0.1374], [0.6118, 0.6118, 0.6118], [0.6267, 0.1785, 0.6267], [0.6267, 0.6266, 0.1785]],
  "dos_at_fermi_per_ev_cell": 14.242,
  "final_energy_ry_per_atom": -0.6640,
  "raw_formation_energy_kcal_per_mol_atoms": -32.7,
  "rho_g_cm3": 7.5,
  "spacegroup": "No. 160"
}

# 5
{
  "formula": "SrLa2PaN4",
  "functional": "PBE",
  "state": "relaxed",
  "lattice": [[6.3755, 0.0000, 0.0000], [0.0000, 3.6812, 0.0000], [-2.1552, 0.0000, 6.0201]],
  "species": ["Sr", "La", "La", "Pa", "N", "N", "N", "N"],
  "fractional_positions": [[0.0000, 0.0000, 0.0000], [0.0000, 0.5000, 0.5000], [0.5000, 0.0000, 0.5000], [0.5000, 0.5000, 0.0000], [0.2759, 0.0000, 0.7677], [0.2956, 0.5000, 0.2260], [0.7044, 0.5000, 0.7740], [0.7241, 0.0000, 0.2323]],
  "dos_at_fermi_per_ev_cell": 2.782,
  "final_energy_ry_per_atom": -0.5963,
  "raw_formation_energy_kcal_per_mol_atoms": -30.5,
  "rho_g_cm3": 7.7,
  "spacegroup": "No. 10"
}

# 6
{
  "formula": "Sr3La2PaN6",
  "functional": "PBE",
  "state": "relaxed",
  "lattice": [[3.2261, -5.5633, 0.0000], [3.2261, 5.5633, 0.0000], [-2.1875, 0.0000, 6.0609]],
  "species": ["Sr", "Sr", "Sr", "La", "La", "Pa", "N", "N", "N", "N", "N", "N"],
  "fractional_positions": [[0.0000, 0.0000, 0.0000], [0.3361, 0.6639, 0.0000], [0.6639, 0.3361, 0.0000], [0.1665, 0.8335, 0.5000], [0.8335, 0.1665, 0.5000], [0.5000, 0.5000, 0.5000], [0.1259, 0.4294, 0.2866], [0.2649, 0.2649, 0.7098], [0.4294, 0.1259, 0.2866], [0.5706, 0.8741, 0.7134], [0.7351, 0.7351, 0.2902], [0.8741, 0.5706, 0.7134]],
  "dos_at_fermi_per_ev_cell": 14.585,
  "final_energy_ry_per_atom": -0.5388,
  "raw_formation_energy_kcal_per_mol_atoms": -26.2,
  "rho_g_cm3": 6.5,
  "spacegroup": "No. 12"
}

# 7
{
  "formula": "Sr3LaPa3N8",
  "functional": "PBE",
  "state": "relaxed",
  "lattice": [[3.6387, 2.1008, 6.0021], [-3.6387, 2.1008, 6.0021], [0.0000, -4.2016, 6.0021]],
  "species": ["Sr", "Sr", "Sr", "La", "Pa", "Pa", "Pa", "N", "N", "N", "N", "N", "N", "N", "N"],
  "fractional_positions": [[0.0000, 0.5000, 0.5000], [0.5000, 0.0000, 0.5000], [0.5000, 0.5000, 0.0000], [0.5000, 0.5000, 0.5000], [0.0000, 0.0000, 0.5000], [0.0000, 0.5000, 0.0000], [0.5000, 0.0000, 0.0000], [0.2058, 0.7371, 0.7371], [0.2381, 0.2381, 0.2381], [0.2629, 0.2629, 0.7942], [0.2629, 0.7942, 0.2629], [0.7371, 0.2058, 0.7371], [0.7371, 0.7371, 0.2058], [0.7619, 0.7619, 0.7619], [0.7942, 0.2629, 0.2629]],
  "dos_at_fermi_per_ev_cell": 1.521,
  "final_energy_ry_per_atom": -0.6072,
  "raw_formation_energy_kcal_per_mol_atoms": -29.0,
  "rho_g_cm3": 7.3,
  "spacegroup": "No. 166"
}

# 8
{
  "formula": "SrLa3Pa2N6",
  "functional": "PBE",
  "state": "relaxed",
  "lattice": [[8.0344, -1.8221, 0.0000], [8.0344, 1.8221, 0.0000], [-1.7813, 0.0000, 7.1222]],
  "species": ["Sr", "La", "La", "La", "Pa", "Pa", "N", "N", "N", "N", "N", "N"],
  "fractional_positions": [[0.0000, 0.0000, 0.0000], [0.0000, 0.0000, 0.5000], [0.3307, 0.3307, 0.1619], [0.6693, 0.6693, 0.8381], [0.3331, 0.3331, 0.6686], [0.6669, 0.6669, 0.3314], [0.1705, 0.1705, 0.1214], [0.1763, 0.1763, 0.5576], [0.4747, 0.4747, 0.7238], [0.5253, 0.5253, 0.2762], [0.8237, 0.8237, 0.4424], [0.8295, 0.8295, 0.8786]],
  "dos_at_fermi_per_ev_cell": 5.121,
  "final_energy_ry_per_atom": -0.6273,
  "raw_formation_energy_kcal_per_mol_atoms": -32.7,
  "rho_g_cm3": 8.4,
  "spacegroup": "No. 12"
}

# 9
{
  "formula": "SrLaPaN3",
  "functional": "PBE",
  "state": "relaxed",
  "lattice": [[6.0309, 0.0000, 0.0000], [0.0000, 3.6040, 0.0000], [-0.4154, 0.0000, 10.0837]],
  "species": ["Sr", "Sr", "La", "La", "Pa", "Pa", "N", "N", "N", "N", "N", "N"],
  "fractional_positions": [[0.2323, 0.2500, 0.2454], [0.7677, 0.7500, 0.7546], [0.2986, 0.2500, 0.8961], [0.7014, 0.7500, 0.1039], [0.2535, 0.7500, 0.5548], [0.7465, 0.2500, 0.4452], [0.0174, 0.2500, 0.6146], [0.3053, 0.7500, 0.0504], [0.5005, 0.2500, 0.6146], [0.4995, 0.7500, 0.3854], [0.6947, 0.2500, 0.9496], [0.9826, 0.7500, 0.3854]],
  "dos_at_fermi_per_ev_cell": 2.583,
  "final_energy_ry_per_atom": -0.5951,
  "raw_formation_energy_kcal_per_mol_atoms": -28.8,
  "rho_g_cm3": 7.6,
  "spacegroup": "No. 11"
}

# 10
{
  "formula": "LaPaTaN3",
  "functional": "PBE",
  "state": "relaxed",
  "lattice": [[7.4535, 0.0000, 0.0000], [0.0000, 3.4327, 0.0000], [-0.8370, 0.0000, 8.0213]],
  "species": ["La", "La", "Pa", "Pa", "Ta", "Ta", "N", "N", "N", "N", "N", "N"],
  "fractional_positions": [[0.1456, 0.2500, 0.1699], [0.8544, 0.7500, 0.8301], [0.3660, 0.7500, 0.8369], [0.6340, 0.2500, 0.1631], [0.1267, 0.2500, 0.5779], [0.8733, 0.7500, 0.4221], [0.1333, 0.2500, 0.8462], [0.1779, 0.7500, 0.4462], [0.4136, 0.7500, 0.1084], [0.5864, 0.2500, 0.8916], [0.8221, 0.2500, 0.5538], [0.8667, 0.7500, 0.1538]],
  "dos_at_fermi_per_ev_cell": 5.896,
  "final_energy_ry_per_atom": -0.7089,
  "raw_formation_energy_kcal_per_mol_atoms": -25.4,
  "rho_g_cm3": 9.6,
  "spacegroup": "No. 11"
}

# 11
{
  "formula": "La2PaTaN5",
  "functional": "PBE",
  "state": "relaxed",
  "lattice": [[4.0230, 0.0000, 0.0000], [0.0000, 4.0230, 0.0000], [0.0000, 0.0000, 8.6263]],
  "species": ["La", "La", "Pa", "Ta", "N", "N", "N", "N", "N"],
  "fractional_positions": [[0.0000, 0.0000, 0.2087], [0.0000, 0.0000, 0.7913], [0.5000, 0.5000, 0.5000], [0.5000, 0.5000, 0.0000], [0.0000, 0.0000, 0.5000], [0.0000, 0.5000, 0.0000], [0.5000, 0.0000, 0.0000], [0.5000, 0.5000, 0.2587], [0.5000, 0.5000, 0.7413]],
  "dos_at_fermi_per_ev_cell": 2.762,
  "final_energy_ry_per_atom": -0.6970,
  "raw_formation_energy_kcal_per_mol_atoms": -32.1,
  "rho_g_cm3": 9.0,
  "spacegroup": "No. 123"
}

# 12
{
  "formula": "La4Pa3TaN8",
  "functional": "PBE",
  "state": "relaxed",
  "lattice": [[3.5111, 2.0272, 5.9237], [-3.5111, 2.0272, 5.9237], [0.0000, -4.0543, 5.9237]],
  "species": ["La", "La", "La", "La", "Pa", "Pa", "Pa", "Ta", "N", "N", "N", "N", "N", "N", "N", "N"],
  "fractional_positions": [[0.0000, 0.0000, 0.0000], [0.0000, 0.5000, 0.5000], [0.5000, 0.0000, 0.5000], [0.5000, 0.5000, 0.0000], [0.0000, 0.0000, 0.5000], [0.0000, 0.5000, 0.0000], [0.5000, 0.0000, 0.0000], [0.5000, 0.5000, 0.5000], [0.2342, 0.2342, 0.2342], [0.2504, 0.7223, 0.7223], [0.2777, 0.2777, 0.7496], [0.2777, 0.7496, 0.2777], [0.7223, 0.2504, 0.7223], [0.7223, 0.7223, 0.2504], [0.7496, 0.2777, 0.2777], [0.7658, 0.7658, 0.7658]],
  "dos_at_fermi_per_ev_cell": 4.292,
  "final_energy_ry_per_atom": -0.6910,
  "raw_formation_energy_kcal_per_mol_atoms": -34.3,
  "rho_g_cm3": 10.1,
  "spacegroup": "No. 166"
}

# 13
{
  "formula": "La2TbPaN4",
  "functional": "PBE",
  "state": "relaxed",
  "lattice": [[6.1575, 0.0000, 0.0000], [0.0000, 3.6038, 0.0000], [-2.0512, 0.0000, 6.0028]],
  "species": ["La", "La", "Tb", "Pa", "N", "N", "N", "N"],
  "fractional_positions": [[0.0000, 0.0000, 0.0000], [0.5000, 0.5000, 0.0000], [0.0000, 0.5000, 0.5000], [0.5000, 0.0000, 0.5000], [0.2565, 0.0000, 0.7172], [0.2742, 0.5000, 0.2891], [0.7258, 0.5000, 0.7109], [0.7435, 0.0000, 0.2828]],
  "dos_at_fermi_per_ev_cell": 3.291,
  "final_energy_ry_per_atom": -0.6404,
  "raw_formation_energy_kcal_per_mol_atoms": -35.8,
  "rho_g_cm3": 9.0,
  "spacegroup": "No. 10"
}

# 14
{
  "formula": "LaTbPaN3",
  "functional": "PBE",
  "state": "relaxed",
  "lattice": [[6.1040, 0.0000, 0.0000], [0.0000, 3.5870, 0.0000], [-1.8761, 0.0000, 9.1137]],
  "species": ["La", "La", "Tb", "Tb", "Pa", "Pa", "N", "N", "N", "N", "N", "N"],
  "fractional_positions": [[0.1566, 0.2500, 0.1989], [0.8434, 0.7500, 0.8011], [0.2642, 0.7500, 0.5402], [0.7358, 0.2500, 0.4598], [0.3597, 0.2500, 0.8479], [0.6403, 0.7500, 0.1521], [0.0506, 0.2500, 0.6664], [0.2776, 0.7500, 0.9949], [0.4645, 0.7500, 0.3427], [0.5355, 0.2500, 0.6573], [0.7224, 0.2500, 0.0051], [0.9494, 0.7500, 0.3336]],
  "dos_at_fermi_per_ev_cell": 6.122,
  "final_energy_ry_per_atom": -0.6435,
  "raw_formation_energy_kcal_per_mol_atoms": -32.7,
  "rho_g_cm3": 9.5,
  "spacegroup": "No. 11"
}

# 15
{
  "formula": "LaPa2TcN5",
  "functional": "PBE",
  "state": "relaxed",
  "lattice": [[-3.2984, 3.2984, 5.8557], [3.2984, -3.2984, 5.8557], [3.2984, 3.2984, -5.8557]],
  "species": ["La", "La", "Pa", "Pa", "Pa", "Pa", "Tc", "Tc", "N", "N", "N", "N", "N", "N", "N", "N", "N", "N"],
  "fractional_positions": [[0.2500, 0.2500, 0.0000], [0.7500, 0.7500, 0.0000], [0.1786, 0.6786, 0.8572], [0.3214, 0.1786, 0.5000], [0.6786, 0.8214, 0.5000], [0.8214, 0.3214, 0.1428], [0.2500, 0.7500, 0.5000], [0.7500, 0.2500, 0.5000], [0.0000, 0.0000, 0.0000], [0.0171, 0.2212, 0.5000], [0.2212, 0.7212, 0.2041], [0.2788, 0.4829, 0.5000], [0.4829, 0.9829, 0.2041], [0.5000, 0.5000, 0.0000], [0.5171, 0.0171, 0.7959], [0.7212, 0.5171, 0.5000], [0.7788, 0.2788, 0.7959], [0.9829, 0.7788, 0.5000]],
  "dos_at_fermi_per_ev_cell": 12.025,
  "final_energy_ry_per_atom": -0.7092,
  "raw_formation_energy_kcal_per_mol_atoms": -28.0,
  "rho_g_cm3": 10.0,
  "spacegroup": "No. 140"
}

# 16
{
  "formula": "LaPaTe2N",
  "functional": "PBE",
  "state": "relaxed",
  "lattice": [[4.1337, 0.0000, 0.0000], [0.0000, 4.1337, 0.0000], [0.0000, 0.0000, 16.7713]],
  "species": ["La", "La", "Pa", "Pa", "Te", "Te", "Te", "Te", "N", "N"],
  "fractional_positions": [[0.2500, 0.2500, 0.1415], [0.7500, 0.7500, 0.8585], [0.2500, 0.2500, 0.5646], [0.7500, 0.7500, 0.4354], [0.2500, 0.2500, 0.3301], [0.2500, 0.2500, 0.9231], [0.7500, 0.7500, 0.0769], [0.7500, 0.7500, 0.6699], [0.2500, 0.7500, 0.5000], [0.7500, 0.2500, 0.5000]],
  "dos_at_fermi_per_ev_cell": 8.224,
  "final_energy_ry_per_atom": -0.5345,
  "raw_formation_energy_kcal_per_mol_atoms": -33.8,
  "rho_g_cm3": 7.4,
  "spacegroup": "No. 129"
}

# 17
{
  "formula": "La2ThPaN4",
  "functional": "PBE",
  "state": "relaxed",
  "lattice": [[6.3262, 0.0000, 0.0000], [0.0000, 3.6452, 0.0000], [-2.0945, 0.0000, 6.0068]],
  "species": ["La", "La", "Th", "Pa", "N", "N", "N", "N"],
  "fractional_positions": [[0.0000, 0.0000, 0.0000], [0.5000, 0.5000, 0.0000], [0.0000, 0.5000, 0.5000], [0.5000, 0.0000, 0.5000], [0.2570, 0.0000, 0.7132], [0.2801, 0.5000, 0.2932], [0.7199, 0.5000, 0.7068], [0.7430, 0.0000, 0.2868]],
  "dos_at_fermi_per_ev_cell": 4.228,
  "final_energy_ry_per_atom": -0.6655,
  "raw_formation_energy_kcal_per_mol_atoms": -35.6,
  "rho_g_cm3": 9.6,
  "spacegroup": "No. 10"
}

# 18
{
  "formula": "La3Th2PaN6",
  "functional": "PBE",
  "state": "relaxed",
  "lattice": [[3.1733, -5.4996, 0.0000], [3.1733, 5.4996, 0.0000], [-2.1128, 0.0000, 6.0257]],
  "species": ["La", "La", "La", "Th", "Th", "Pa", "N", "N", "N", "N", "N", "N"],
  "fractional_positions": [[0.0000, 0.0000, 0.0000], [0.3338, 0.6662, 0.0000], [0.6662, 0.3338, 0.0000], [0.1666, 0.8334, 0.5000], [0.8334, 0.1666, 0.5000], [0.5000, 0.5000, 0.5000], [0.1131, 0.4284, 0.2855], [0.2567, 0.2567, 0.7170], [0.4284, 0.1131, 0.2855], [0.5716, 0.8869, 0.7145], [0.7433, 0.7433, 0.2830], [0.8869, 0.5716, 0.7145]],
  "dos_at_fermi_per_ev_cell": 5.595,
  "final_energy_ry_per_atom": -0.6585,
  "raw_formation_energy_kcal_per_mol_atoms": -35.4,
  "rho_g_cm3": 9.4,
  "spacegroup": "No. 12"
}

# 19
{
  "formula": "LaThPaN3",
  "functional": "PBE",
  "state": "relaxed",
  "lattice": [[6.2608, 0.0000, 0.0000], [0.0000, 3.6180, 0.0000], [-1.9047, 0.0000, 9.1045]],
  "species": ["La", "La", "Th", "Th", "Pa", "Pa", "N", "N", "N", "N", "N", "N"],
  "fractional_positions": [[0.1456, 0.2500, 0.1860], [0.8544, 0.7500, 0.8140], [0.2613, 0.7500, 0.5442], [0.7387, 0.2500, 0.4558], [0.3674, 0.2500, 0.8576], [0.6326, 0.7500, 0.1424], [0.0574, 0.2500, 0.6633], [0.2530, 0.7500, 0.9884], [0.4634, 0.7500, 0.3428], [0.5366, 0.2500, 0.6572], [0.7470, 0.2500, 0.0116], [0.9426, 0.7500, 0.3367]],
  "dos_at_fermi_per_ev_cell": 4.433,
  "final_energy_ry_per_atom": -0.6774,
  "raw_formation_energy_kcal_per_mol_atoms": -32.6,
  "rho_g_cm3": 10.4,
  "spacegroup": "No. 11"
}

# 20
{
  "formula": "La4Th3PaN8",
  "functional": "PBE",
  "state": "relaxed",
  "lattice": [[3.6751, 2.1218, 6.0361], [-3.6751, 2.1218, 6.0361], [0.0000, -4.2437, 6.0361]],
  "species": ["La", "La", "La", "La", "Th", "Th", "Th", "Pa", "N", "N", "N", "N", "N", "N", "N", "N"],
  "fractional_positions": [[0.0000, 0.0000, 0.0000], [0.0000, 0.5000, 0.5000], [0.5000, 0.0000, 0.5000], [0.5000, 0.5000, 0.0000], [0.0000, 0.0000, 0.5000], [0.0000, 0.5000, 0.0000], [0.5000, 0.0000, 0.0000], [0.5000, 0.5000, 0.5000], [0.2415, 0.2415, 0.2415], [0.2556, 0.7296, 0.7296], [0.2704, 0.2704, 0.7444], [0.2704, 0.7444, 0.2704], [0.7296, 0.2556, 0.7296], [0.7296, 0.7296, 0.2556], [0.7444, 0.2704, 0.2704], [0.7585, 0.7585, 0.7585]],
  "dos_at_fermi_per_ev_cell": 8.963,
  "final_energy_ry_per_atom": -0.6543,
  "raw_formation_energy_kcal_per_mol_atoms": -35.1,
  "rho_g_cm3": 9.4,
  "spacegroup": "No. 166"
}